Na2BeCrF6 | GGA+U | optimized geometry

Structure (POSCAR):
```
Na2BeCrF6
1.0
5.203 0.000 0.000
0.000 5.203 0.000
0.000 0.000 4.575
Na Be Cr F
2 1 1 6
direct
0.000 0.500 0.000
0.500 0.000 0.000
0.000 0.000 0.535
0.500 0.500 0.585
0.000 0.000 0.196
0.227 0.227 0.638
0.227 0.773 0.638
0.500 0.500 0.099
0.773 0.227 0.638
0.773 0.773 0.638
```

Properties
Theoretical density (g/cm3): 2.96
Total DFT energy (no corrections) (Ry/atom): -0.386